1.
The following is a DFT calculation (GGA-PBE) of crystalline La8Tl2Bi at its relaxed geometry.

Unit cell a=9.4432 b=9.4432 c=9.4432 alpha=146.54 beta=125.50 gamma=65.49
With the nearest neighbours (Å) after each atom.
Element x y z (fractional)
La1 0.1187 0.3433 0.7754  3 Tl 3.39, 1 Bi 3.45, 4 La 3.63-3.69
La2 0.1326 0.1326 0.0000  6 La 3.29-3.63, 2 Bi 3.44
La3 0.2929 0.0000 0.2929  7 La 3.29-3.69, 2 Tl 3.53
La4 0.4321 0.6567 0.7754  3 Tl 3.39, 1 Bi 3.45, 4 La 3.63-3.69
La5 0.5679 0.3433 0.2246  3 Tl 3.39, 1 Bi 3.45, 4 La 3.63-3.69
La6 0.7071 0.0000 0.7071  7 La 3.29-3.69, 2 Tl 3.53
La7 0.8674 0.8674 0.0000  6 La 3.29-3.63, 2 Bi 3.44
La8 0.8813 0.6567 0.2246  3 Tl 3.39, 1 Bi 3.45, 4 La 3.63-3.69
Tl1 0.3083 0.8083 0.5000  8 La 3.39-3.53
Tl2 0.6917 0.1917 0.5000  8 La 3.39-3.53
Bi1 0.0000 0.5000 0.5000  12 La 3.44-3.72

Results
Its uncorrected energy is -4.650 eV/atom. The calculation puts the volume at 373.5 Å³/cell. As for the density of states at the Fermi level: 1.370 states/eV/atom. The value obtained for the formation energy is -0.28 eV per atom.

---

2.
The following is a DFT calculation (GGA-PBE) of crystalline NaAuSe3 at its relaxed geometry.

Unit cell a=5.1806 b=5.1806 c=5.1806 alpha=90.00 beta=90.00 gamma=90.00
With the nearest neighbours (Å) after each atom.
Element x y z (fractional)
Na1 0.0000 0.0000 0.0000  12 Se 3.66
Au1 0.5000 0.5000 0.5000  6 Se 2.59
Se1 0.0000 0.5000 0.5000  2 Au 2.59
Se2 0.5000 0.0000 0.5000  2 Au 2.59
Se3 0.5000 0.5000 0.0000  2 Au 2.59

Results
Its uncorrected energy is -2.924 eV/atom. The calculation puts the volume at 139.0 Å³/cell. As for the density of states at the Fermi level: 1.014 states/eV/atom. The calculation puts the uncorrected formation energy at 0.0865 eV/atom.

---

3.
The following is a DFT calculation (GGA-PBE) of crystalline CsInSe2 at its relaxed geometry.

Unit cell a=7.3664 b=7.3664 c=7.3664 alpha=113.98 beta=113.98 gamma=100.79
With the nearest neighbours (Å) after each atom.
Element x y z (fractional)
Cs1 0.0000 0.0000 0.0000  4 Se 3.62
Cs2 0.7500 0.2500 0.5000  4 Se 3.62
In1 0.2500 0.7500 0.5000  4 Se 2.63
In2 0.5000 0.5000 0.0000  4 Se 2.63
Se1 0.2212 0.6250 0.0962  2 In 2.63
Se2 0.3750 0.4712 0.5962  2 In 2.63
Se3 0.5288 0.1250 0.9038  2 In 2.63
Se4 0.8750 0.7788 0.4038  2 In 2.63

Results
Its uncorrected energy is -3.546 eV/atom. The calculation puts the volume at 302.5 Å³/cell. As for the density of states at the Fermi level: 0.000 states/eV/atom. The calculation puts the uncorrected formation energy at -0.9057 eV/atom.

---

4.
The following is a DFT calculation (GGA-PBE) of crystalline MgMo2Br at its relaxed geometry.

Unit cell a=3.7888 b=3.7888 c=5.0279 alpha=90.00 beta=90.00 gamma=90.00
With the nearest neighbours (Å) after each atom.
Element x y z (fractional)
Mg1 0.0000 0.0000 0.0000  4 Br 2.68
Mo1 0.0000 0.5000 0.5000  4 Mo 2.68
Mo2 0.5000 0.0000 0.5000  4 Mo 2.68
Br1 0.5000 0.5000 0.0000  4 Mg 2.68

Results
Its uncorrected energy is -5.454 eV/atom. The calculation puts the volume at 72.2 Å³/cell. As for the density of states at the Fermi level: 0.614 states/eV/atom. The calculation puts the uncorrected formation energy at 0.7782 eV/atom.

---

5.
The following is a DFT calculation (GGA-PBE) of crystalline ScTaW at its relaxed geometry.

Unit cell a=7.4443 b=7.4443 c=4.6299 alpha=90.00 beta=90.00 gamma=154.20
With the nearest neighbours (Å) after each atom.
Element x y z (fractional)
Sc1 0.2354 0.7646 0.7500  2 W 2.86, 4 Sc 2.88, 2 Ta 3.20
Sc2 0.7646 0.2354 0.2500  2 W 2.86, 4 Sc 2.88, 2 Ta 3.20
Ta1 0.0766 0.9234 0.2500  6 W 2.76-2.85
Ta2 0.9234 0.0766 0.7500  6 W 2.76-2.85
W1 0.4247 0.5753 0.2500  6 Ta 2.76-2.85, 2 Sc 2.86
W2 0.5753 0.4247 0.7500  6 Ta 2.76-2.85, 2 Sc 2.86

Results
Its uncorrected energy is -10.227 eV/atom. The calculation puts the volume at 111.7 Å³/cell. As for the density of states at the Fermi level: 1.332 states/eV/atom. The value obtained for the formation energy is 0.15 eV per atom.

---

6.
The following is a DFT calculation (GGA-PBE) of crystalline Na2ZnNi at its relaxed geometry.

Unit cell a=10.7515 b=10.7515 c=10.7515 alpha=159.91 beta=159.91 gamma=28.56
With the nearest neighbours (Å) after each atom.
Element x y z (fractional)
Na1 0.1205 0.6250 0.9955  4 Na 2.63-2.68, 2 Ni 2.92, 2 Zn 2.93
Na2 0.3750 0.3705 0.4955  4 Na 2.63-2.68, 2 Ni 2.92, 2 Zn 2.93
Na3 0.6295 0.1250 0.0045  4 Na 2.63-2.68, 2 Ni 2.92, 2 Zn 2.93
Na4 0.8750 0.8795 0.5045  4 Na 2.63-2.68, 2 Ni 2.92, 2 Zn 2.93
Zn1 0.2500 0.7500 0.5000  4 Ni 2.65, 4 Na 2.93
Zn2 0.5000 0.5000 0.0000  4 Ni 2.65, 4 Na 2.93
Ni1 0.0000 0.0000 0.0000  4 Zn 2.65, 4 Na 2.92
Ni2 0.7500 0.2500 0.5000  4 Zn 2.65, 4 Na 2.92

Results
Its uncorrected energy is -2.011 eV/atom. The calculation puts the volume at 146.5 Å³/cell. As for the density of states at the Fermi level: 0.400 states/eV/atom. The value obtained for the formation energy is 0.41 eV per atom.

---

7.
The following is a DFT calculation (GGA-PBE) of crystalline La4Hg3 at its relaxed geometry.

Unit cell a=9.3039 b=9.3039 c=9.3039 alpha=34.24 beta=34.24 gamma=34.24
With the nearest neighbours (Å) after each atom.
Element x y z (fractional)
La1 0.1197 0.1197 0.1197  7 Hg 3.29-3.39
La2 0.3718 0.3718 0.3718  5 Hg 3.24-3.39
La3 0.6282 0.6282 0.6282  5 Hg 3.24-3.39
La4 0.8803 0.8803 0.8803  7 Hg 3.29-3.39
Hg1 0.2486 0.2486 0.2486  8 La 3.24-3.39
Hg2 0.5000 0.5000 0.5000  8 La 3.36-3.39
Hg3 0.7514 0.7514 0.7514  8 La 3.24-3.39

Results
Its uncorrected energy is -3.295 eV/atom. The calculation puts the volume at 227.3 Å³/cell. As for the density of states at the Fermi level: 1.336 states/eV/atom. The value obtained for the formation energy is -0.35 eV per atom.

---

8.
The following is a DFT calculation (GGA-PBE) of crystalline Pm5Sm12Y at its relaxed geometry.

Unit cell a=10.5840 b=10.5840 c=5.8380 alpha=90.01 beta=90.01 gamma=111.04
With the nearest neighbours (Å) after each atom.
Element x y z (fractional)
Pm1 0.0000 0.0000 0.0000  10 Sm 3.60-3.87, 4 Pm 3.77
Pm2 0.1370 0.8630 0.5000  8 Sm 3.40-3.69, 2 Pm 3.77
Pm3 0.3647 0.6353 0.0000  8 Sm 3.37-3.70, 2 Y 3.75
Pm4 0.6353 0.3647 0.0000  8 Sm 3.37-3.70, 2 Y 3.75
Pm5 0.8630 0.1370 0.5000  8 Sm 3.40-3.69, 2 Pm 3.77
Sm1 0.0281 0.6679 0.9975  6 Sm 3.39-3.79, 4 Pm 3.51-3.70
Sm2 0.1674 0.5269 0.5023  5 Sm 3.38-3.74, 3 Pm 3.52-3.69, 1 Y 3.63
Sm3 0.2021 0.2021 0.4838  2 Sm 3.14-3.15, 2 Pm 3.40
Sm4 0.3000 0.3000 0.9842  2 Sm 3.14-3.15, 2 Pm 3.37
Sm5 0.3321 0.9719 0.0025  6 Sm 3.39-3.79, 4 Pm 3.51-3.70
Sm6 0.4731 0.8326 0.4977  5 Sm 3.38-3.74, 3 Pm 3.52-3.69, 1 Y 3.63
Sm7 0.5269 0.1674 0.5023  5 Sm 3.38-3.74, 3 Pm 3.52-3.69, 1 Y 3.63
Sm8 0.6679 0.0281 0.9975  6 Sm 3.39-3.79, 4 Pm 3.51-3.70
Sm9 0.7000 0.7000 0.0158  2 Sm 3.14-3.15, 2 Pm 3.37
Sm10 0.7979 0.7979 0.5162  2 Sm 3.14-3.15, 2 Pm 3.40
Sm11 0.8326 0.4731 0.4977  5 Sm 3.38-3.74, 3 Pm 3.52-3.69, 1 Y 3.63
Sm12 0.9719 0.3321 0.0025  6 Sm 3.39-3.79, 4 Pm 3.51-3.70
Y1 0.5000 0.5000 0.5000  10 Sm 3.57-3.85, 4 Pm 3.75

Results
Its uncorrected energy is -4.743 eV/atom. The calculation puts the volume at 610.4 Å³/cell. As for the density of states at the Fermi level: 1.522 states/eV/atom. The value obtained for the formation energy is 0.08 eV per atom.

---

9.
The following is a DFT calculation (GGA-PBE) of crystalline Mn4CrCo at its relaxed geometry.

Unit cell a=4.5695 b=4.5695 c=4.5695 alpha=60.00 beta=60.00 gamma=60.00
With the nearest neighbours (Å) after each atom.
Element x y z (fractional)
Mn1 0.1239 0.1239 0.1239  6 Mn 2.26-2.30
Mn2 0.1239 0.1239 0.6283  6 Mn 2.26-2.30
Mn3 0.1239 0.6283 0.1239  6 Mn 2.26-2.30
Mn4 0.6283 0.1239 0.1239  6 Mn 2.26-2.30
Cr1 0.5000 0.5000 0.5000  12 Mn 2.68, 4 Co 2.80
Co1 0.7500 0.7500 0.7500  12 Mn 2.68, 4 Cr 2.80

Results
Its uncorrected energy is -8.724 eV/atom. The calculation puts the volume at 67.5 Å³/cell. As for the density of states at the Fermi level: 1.038 states/eV/atom. The value obtained for the formation energy is 0.18 eV per atom.

---

10.
The following is a DFT calculation (GGA-PBE) of crystalline TaTlCr2 at its relaxed geometry.

Unit cell a=4.6401 b=4.6401 c=5.2817 alpha=99.20 beta=99.20 gamma=37.36
With the nearest neighbours (Å) after each atom.
Element x y z (fractional)
Ta1 0.0000 0.0000 0.0000  6 Cr 2.68-2.71, 2 Ta 2.97
Tl1 0.5000 0.5000 0.5000  6 Cr 2.82-2.89, 2 Tl 2.97, 4 Ta 3.03
Cr1 0.2550 0.2550 0.7839  3 Ta 2.68-2.71, 4 Cr 2.74-2.97, 3 Tl 2.82-2.89
Cr2 0.7450 0.7450 0.2161  3 Ta 2.68-2.71, 4 Cr 2.74-2.97, 3 Tl 2.82-2.89

Results
Its uncorrected energy is -7.699 eV/atom. The calculation puts the volume at 68.0 Å³/cell. As for the density of states at the Fermi level: 0.868 states/eV/atom. The value obtained for the formation energy is 0.67 eV per atom.

---

11.
The following is a DFT calculation (GGA-PBE) of crystalline KGe2PdPt at its relaxed geometry.

Unit cell a=6.5999 b=6.5999 c=6.5999 alpha=141.68 beta=141.68 gamma=55.31
With the nearest neighbours (Å) after each atom.
Element x y z (fractional)
K1 0.0000 0.0000 0.0000  8 Ge 3.47, 4 Pt 3.64, 4 Pd 3.64
Ge1 0.3601 0.3601 0.0000  2 Pd 2.52, 2 Pt 2.52
Ge2 0.6399 0.6399 0.0000  2 Pt 2.52, 2 Pd 2.52
Pd1 0.7500 0.2500 0.5000  4 Ge 2.52
Pt1 0.2500 0.7500 0.5000  4 Ge 2.52

Results
Its uncorrected energy is -4.741 eV/atom. The calculation puts the volume at 109.7 Å³/cell. As for the density of states at the Fermi level: 0.397 states/eV/atom. The value obtained for the formation energy is -0.43 eV per atom.

---

12.
The following is a DFT calculation (GGA-PBE) of crystalline RbNaMn2V at its relaxed geometry.

Unit cell a=4.5740 b=4.5740 c=4.7470 alpha=90.00 beta=90.00 gamma=90.00
With the nearest neighbours (Å) after each atom.
Element x y z (fractional)
Rb1 0.0000 0.0000 0.0000  4 Mn 2.29, 2 Na 2.37
Na1 0.0000 0.0000 0.5000  2 Rb 2.37
Mn1 0.0000 0.5000 0.0000  2 Rb 2.29
Mn2 0.5000 0.0000 0.0000  2 Rb 2.29
V1 0.5000 0.5000 0.5000  4 Na 3.23, 8 Mn 3.30

Results
Its uncorrected energy is -3.070 eV/atom. The calculation puts the volume at 99.3 Å³/cell. As for the density of states at the Fermi level: 2.352 states/eV/atom. The value obtained for the formation energy is 2.88 eV per atom.

---

What did the seventh record say?
The following is a DFT calculation (GGA-PBE) of crystalline La4Hg3 at its relaxed geometry.

Unit cell a=9.3039 b=9.3039 c=9.3039 alpha=34.24 beta=34.24 gamma=34.24
With the nearest neighbours (Å) after each atom.
Element x y z (fractional)
La1 0.1197 0.1197 0.1197  7 Hg 3.29-3.39
La2 0.3718 0.3718 0.3718  5 Hg 3.24-3.39
La3 0.6282 0.6282 0.6282  5 Hg 3.24-3.39
La4 0.8803 0.8803 0.8803  7 Hg 3.29-3.39
Hg1 0.2486 0.2486 0.2486  8 La 3.24-3.39
Hg2 0.5000 0.5000 0.5000  8 La 3.36-3.39
Hg3 0.7514 0.7514 0.7514  8 La 3.24-3.39

Results
Its uncorrected energy is -3.295 eV/atom. The calculation puts the volume at 227.3 Å³/cell. As for the density of states at the Fermi level: 1.336 states/eV/atom. The value obtained for the formation energy is -0.35 eV per atom.

---

Which formula does entry 4 have?
MgMo2Br

---

What is the formula in the first record?
La8Tl2Bi

---

Repeat the eighth record exactly.
The following is a DFT calculation (GGA-PBE) of crystalline Pm5Sm12Y at its relaxed geometry.

Unit cell a=10.5840 b=10.5840 c=5.8380 alpha=90.01 beta=90.01 gamma=111.04
With the nearest neighbours (Å) after each atom.
Element x y z (fractional)
Pm1 0.0000 0.0000 0.0000  10 Sm 3.60-3.87, 4 Pm 3.77
Pm2 0.1370 0.8630 0.5000  8 Sm 3.40-3.69, 2 Pm 3.77
Pm3 0.3647 0.6353 0.0000  8 Sm 3.37-3.70, 2 Y 3.75
Pm4 0.6353 0.3647 0.0000  8 Sm 3.37-3.70, 2 Y 3.75
Pm5 0.8630 0.1370 0.5000  8 Sm 3.40-3.69, 2 Pm 3.77
Sm1 0.0281 0.6679 0.9975  6 Sm 3.39-3.79, 4 Pm 3.51-3.70
Sm2 0.1674 0.5269 0.5023  5 Sm 3.38-3.74, 3 Pm 3.52-3.69, 1 Y 3.63
Sm3 0.2021 0.2021 0.4838  2 Sm 3.14-3.15, 2 Pm 3.40
Sm4 0.3000 0.3000 0.9842  2 Sm 3.14-3.15, 2 Pm 3.37
Sm5 0.3321 0.9719 0.0025  6 Sm 3.39-3.79, 4 Pm 3.51-3.70
Sm6 0.4731 0.8326 0.4977  5 Sm 3.38-3.74, 3 Pm 3.52-3.69, 1 Y 3.63
Sm7 0.5269 0.1674 0.5023  5 Sm 3.38-3.74, 3 Pm 3.52-3.69, 1 Y 3.63
Sm8 0.6679 0.0281 0.9975  6 Sm 3.39-3.79, 4 Pm 3.51-3.70
Sm9 0.7000 0.7000 0.0158  2 Sm 3.14-3.15, 2 Pm 3.37
Sm10 0.7979 0.7979 0.5162  2 Sm 3.14-3.15, 2 Pm 3.40
Sm11 0.8326 0.4731 0.4977  5 Sm 3.38-3.74, 3 Pm 3.52-3.69, 1 Y 3.63
Sm12 0.9719 0.3321 0.0025  6 Sm 3.39-3.79, 4 Pm 3.51-3.70
Y1 0.5000 0.5000 0.5000  10 Sm 3.57-3.85, 4 Pm 3.75

Results
Its uncorrected energy is -4.743 eV/atom. The calculation puts the volume at 610.4 Å³/cell. As for the density of states at the Fermi level: 1.522 states/eV/atom. The value obtained for the formation energy is 0.08 eV per atom.